# 1
A plane-wave DFT calculation with PBE was carried out for a relaxed RbW crystal.

Computed properties:
formation energy	1.620	eV/atom
ρ	4520	kg/m³
E above lowest polymorph	734.1	meV per atom
total magnetization	1.98	Bohr magnetons per cell

```
data_RbW
_cell_length_a 15.733
_cell_length_b 15.733
_cell_length_c 3.198
_cell_angle_alpha 90.00
_cell_angle_beta 90.00
_cell_angle_gamma 90.00
_symmetry_space_group_name_H-M 'I 4/m'
_symmetry_Int_Tables_number 87
_symmetry_space_group_name_Hall '-I 4'
loop_
_atom_site_label
_atom_site_fract_x
_atom_site_fract_y
_atom_site_fract_z
_atom_site_occupancy
Rb1 0.034 0.743 0.000 1
W1 0.195 0.252 0.000 1
```

***

# 2
A plane-wave DFT calculation with PBE was carried out for a relaxed RbW crystal.

Computed properties:
formation energy	3.397	eV/atom
ρ	2925	kg/m³
E above lowest polymorph	2511.5	meV per atom
total magnetization	20.37	Bohr magnetons per cell

```
data_RbW
_cell_length_a 8.488
_cell_length_b 8.488
_cell_length_c 8.488
_cell_angle_alpha 90.00
_cell_angle_beta 90.00
_cell_angle_gamma 90.00
_symmetry_space_group_name_H-M 'F -4 3 m'
_symmetry_Int_Tables_number 216
_symmetry_space_group_name_Hall 'F -4 2 3'
loop_
_atom_site_label
_atom_site_fract_x
_atom_site_fract_y
_atom_site_fract_z
_atom_site_occupancy
Rb1 0.000 0.000 0.000 1
W1 0.250 0.250 0.750 1
```

***

# 3
A plane-wave DFT calculation with PBE was carried out for a relaxed RbW crystal.

Computed properties:
formation energy	0.886	eV/atom
ρ	4209	kg/m³
E above lowest polymorph	0.0	meV per atom
total magnetization	0.00	Bohr magnetons per cell

```
data_RbW
_cell_length_a 13.686
_cell_length_b 13.686
_cell_length_c 4.538
_cell_angle_alpha 90.00
_cell_angle_beta 90.00
_cell_angle_gamma 90.00
_symmetry_space_group_name_H-M 'P 4/m'
_symmetry_Int_Tables_number 83
_symmetry_space_group_name_Hall '-P 4'
loop_
_atom_site_label
_atom_site_fract_x
_atom_site_fract_y
_atom_site_fract_z
_atom_site_occupancy
Rb1 0.092 0.639 0.000 1
Rb2 0.196 0.324 0.500 1
W1 0.033 0.869 0.500 1
W2 0.070 0.117 0.000 1
```

***

# 4
A plane-wave DFT calculation with PBE was carried out for a relaxed RbW crystal.

Computed properties:
formation energy	1.623	eV/atom
ρ	4075	kg/m³
E above lowest polymorph	737.4	meV per atom
total magnetization	1.20	Bohr magnetons per cell

```
data_RbW
_cell_length_a 15.4184
_cell_length_b 15.4184
_cell_length_c 3.1985
_cell_angle_alpha 90.00
_cell_angle_beta 90.00
_cell_angle_gamma 120.00
_symmetry_space_group_name_H-M 'P 63/m'
_symmetry_Int_Tables_number 176
_symmetry_space_group_name_Hall '-P 6c'
loop_
_atom_site_label
_atom_site_fract_x
_atom_site_fract_y
_atom_site_fract_z
_atom_site_occupancy
Rb1 0.1858 0.7434 0.2500 1
W1 0.0402 0.4756 0.2500 1
```

***

# 5
A plane-wave DFT calculation with PBE was carried out for a relaxed RbW crystal.

Computed properties:
formation energy	3.320	eV/atom
ρ	3297	kg/m³
E above lowest polymorph	2434.4	meV per atom
total magnetization	10.10	Bohr magnetons per cell

```
data_RbW
_cell_length_a 6.4701
_cell_length_b 6.4701
_cell_length_c 7.4833
_cell_angle_alpha 90.00
_cell_angle_beta 90.00
_cell_angle_gamma 120.00
_symmetry_space_group_name_H-M 'P 63/m m c'
_symmetry_Int_Tables_number 194
_symmetry_space_group_name_Hall '-P 6c 2c'
loop_
_atom_site_label
_atom_site_fract_x
_atom_site_fract_y
_atom_site_fract_z
_atom_site_occupancy
Rb1 0.3333 0.6667 0.2500 1
W1 0.3333 0.6667 0.7500 1
```

***

# 6
A plane-wave DFT calculation with PBE was carried out for a relaxed RbW crystal.

Computed properties:
formation energy	1.167	eV/atom
ρ	6433	kg/m³
E above lowest polymorph	281.5	meV per atom
total magnetization	0.00	Bohr magnetons per cell

```
data_RbW
_cell_length_a 3.108
_cell_length_b 4.052
_cell_length_c 11.038
_cell_angle_alpha 90.00
_cell_angle_beta 90.00
_cell_angle_gamma 90.00
_symmetry_space_group_name_H-M 'P m m n'
_symmetry_Int_Tables_number 59
loop_
_symmetry_equiv_pos_as_xyz
'x,y,z'
'-x,-y,-z'
'-x+1/2,-y+1/2,z'
'x+1/2,y+1/2,-z'
'x+1/2,-y,-z'
'-x+1/2,y,z'
'-x,y+1/2,-z'
'x,-y+1/2,z'
loop_
_atom_site_label
_atom_site_fract_x
_atom_site_fract_y
_atom_site_fract_z
_atom_site_occupancy
Rb1 0.250 0.250 0.207 1
W1 0.250 0.750 0.474 1
```

***

# 7
A plane-wave DFT calculation with PBE was carried out for a relaxed RbW crystal.

Computed properties:
formation energy	1.158	eV/atom
ρ	6092	kg/m³
E above lowest polymorph	272.5	meV per atom
total magnetization	0.00	Bohr magnetons per cell

```
data_RbW
_cell_length_a 13.141
_cell_length_b 3.349
_cell_length_c 13.345
_cell_angle_alpha 90.00
_cell_angle_beta 90.00
_cell_angle_gamma 90.00
_symmetry_space_group_name_H-M 'P n m a'
_symmetry_Int_Tables_number 62
_symmetry_space_group_name_Hall '-P 2ac 2n'
loop_
_atom_site_label
_atom_site_fract_x
_atom_site_fract_y
_atom_site_fract_z
_atom_site_occupancy
Rb1 0.138 0.250 0.092 1
Rb2 0.157 0.250 0.786 1
W1 0.073 0.250 0.381 1
W2 0.087 0.750 0.519 1
```

***

# 8
A plane-wave DFT calculation with PBE was carried out for a relaxed RbW crystal.

Computed properties:
formation energy	1.293	eV/atom
ρ	5709	kg/m³
E above lowest polymorph	407.7	meV per atom
total magnetization	0.00	Bohr magnetons per cell

```
data_RbW
_cell_length_a 15.973
_cell_length_b 3.296
_cell_length_c 8.926
_cell_angle_alpha 90.00
_cell_angle_beta 90.00
_cell_angle_gamma 90.00
_symmetry_space_group_name_H-M 'P m n 21'
_symmetry_Int_Tables_number 31
_symmetry_space_group_name_Hall 'P 2ac -2'
loop_
_atom_site_label
_atom_site_fract_x
_atom_site_fract_y
_atom_site_fract_z
_atom_site_occupancy
Rb1 0.000 0.241 0.000 1
Rb2 0.215 0.738 0.689 1
W1 0.000 0.242 0.537 1
W2 0.077 0.742 0.373 1
```